SrMoO3: optimized geometry, PBEsol.

E_tot: -8.347 eV per atom

Cell: 3.9523 3.9523 3.9523 Å, 90.00 90.00 90.00°
Closest atoms and distances in Å follow each position.
Sites, in units of the cell vectors:
1 O 0.0000 0.5000 0.0000  2 Mo 1.98
2 Sr 0.5000 0.5000 0.5000  12 O 2.79
3 Mo 0.0000 0.0000 0.0000  6 O 1.98
4 O 0.5000 0.0000 0.0000  2 Mo 1.98
5 O 0.0000 0.0000 0.5000  2 Mo 1.98